MoRh2Cl: relaxed, GGA-PBE.

a b c (Å): 3.4989 2.9078 6.8425
angles (deg): 89.96 90.00 90.00
With the nearest neighbours (Å) after each atom.
Fractional coordinates of all 4 atoms:
Cl (0.0000, 0.5014, 0.5298)  2 Mo 2.53
Mo (0.5000, 0.5000, 0.7968)  2 Cl 2.53, 5 Rh 2.61-2.69
Rh (0.0000, 0.9995, 0.9838)  4 Mo 2.61, 6 Rh 2.68-2.91
Rh (0.5000, 0.4990, 0.1896)  6 Rh 2.68-2.91, 1 Mo 2.69, 2 Cl 2.91

## Properties
DOS(E_F) = 5.9 states/eV per cell
Total magnetic moment = 1.29 μB/f.u.
Symmetry = Pm, No. 6
Total DFT energy (no corrections) = -6.611 eV per atom